1.
VASP calculation (PBE-GGA) on a relaxed AcHgPt2 crystal.

The calculation puts the formation energy from the elements at -0.5037 eV per atom.

Cell lengths 5.1814, 4.9260, 4.9260 Å; angles 59.81, 90.00, 90.00 degrees
With the nearest neighbours (Å) after each atom.
Element x y z (fractional)
Pt (0.5000, 0.5035, 0.1458)  3 Pt 2.77-3.00, 3 Hg 2.77-2.88, 2 Ac 2.99
Pt (0.5000, 0.8542, 0.4965)  3 Pt 2.77-3.00, 3 Hg 2.77-2.88, 2 Ac 2.99
Ac (0.0000, 0.6786, 0.3214)  4 Pt 2.99
Hg (0.5000, 0.1788, 0.8212)  6 Pt 2.77-2.88



2.
VASP calculation (PBE-GGA) on a relaxed Ac8HgPt4 crystal.

The calculation puts the formation energy from the elements at -0.7847 eV per atom.

Cell lengths 4.4429, 10.7806, 10.0203 Å; angles 84.75, 77.19, 78.11 degrees
With the nearest neighbours (Å) after each atom.
Element x y z (fractional)
Ac (0.1880, 0.9377, 0.6863)  3 Pt 3.05-3.08
Ac (0.8344, 0.0211, 0.3100)  3 Pt 3.05-3.08
Ac (0.8312, 0.5859, 0.7517)  4 Pt 3.07-3.40
Ac (0.9073, 0.2363, 0.9490)  2 Pt 3.06
Ac (0.5495, 0.2914, 0.6096)  3 Pt 3.03-3.27
Ac (0.1913, 0.3728, 0.2447)  4 Pt 3.07-3.40
Ac (0.1151, 0.7224, 0.0475)  2 Pt 3.06
Ac (0.4728, 0.6676, 0.3868)  3 Pt 3.03-3.27
Pt (0.1894, 0.1536, 0.4676)  6 Ac 3.03-3.10
Pt (0.3337, 0.4330, 0.8996)  6 Ac 3.06-3.40, 2 Pt 3.13
Pt (0.6887, 0.5257, 0.0968)  6 Ac 3.06-3.40, 2 Pt 3.13
Pt (0.8329, 0.8052, 0.5289)  6 Ac 3.03-3.10
Hg (0.5108, 0.9795, 0.9989)  8 Ac 3.52-3.82



3.
VASP calculation (PBE-GGA) on a relaxed Ac5Hg4Pt crystal.

The calculation puts the formation energy from the elements at -0.5898 eV per atom.

Cell lengths 3.9697, 3.9697, 20.2285 Å; angles 90.00, 90.00, 90.00 degrees
With the nearest neighbours (Å) after each atom.
Element x y z (fractional)
Ac (0.5000, 0.5000, 0.5000)  8 Hg 3.50
Ac (0.5000, 0.5000, 0.0874)  4 Pt 3.32, 1 Ac 3.53, 4 Hg 3.56
Ac (0.5000, 0.5000, 0.2944)  8 Hg 3.45-3.49
Ac (0.5000, 0.5000, 0.9126)  4 Pt 3.32, 1 Ac 3.53, 4 Hg 3.56
Ac (0.5000, 0.5000, 0.7056)  8 Hg 3.45-3.49
Hg (0.0000, 0.0000, 0.3969)  8 Ac 3.49-3.50
Hg (0.0000, 0.0000, 0.1955)  8 Ac 3.45-3.56
Hg (0.0000, 0.0000, 0.8045)  8 Ac 3.45-3.56
Hg (0.0000, 0.0000, 0.6031)  8 Ac 3.49-3.50
Pt (0.0000, 0.0000, 0.0000)  8 Ac 3.32



4.
VASP calculation (PBE-GGA) on a relaxed Ac3Hg7Pt4 crystal.

The calculation puts the formation energy from the elements at -0.5573 eV per atom.

Cell lengths 4.4174, 8.9238, 9.6895 Å; angles 71.55, 76.82, 75.67 degrees
With the nearest neighbours (Å) after each atom.
Element x y z (fractional)
Hg (0.0000, 0.0000, 0.0000)  2 Pt 2.82
Hg (0.6765, 0.1558, 0.4912)  4 Pt 2.77-2.99
Hg (0.1664, 0.6020, 0.0652)  3 Pt 2.99-3.22, 5 Hg 3.12-3.32
Hg (0.5134, 0.7778, 0.1953)  3 Pt 2.82-2.88, 2 Hg 3.12
Hg (0.3235, 0.8442, 0.5088)  4 Pt 2.77-2.99
Hg (0.8336, 0.3980, 0.9348)  3 Pt 2.99-3.22, 5 Hg 3.12-3.32
Hg (0.4866, 0.2222, 0.8047)  3 Pt 2.82-2.88, 2 Hg 3.12
Pt (0.3515, 0.5611, 0.7359)  4 Hg 2.77-2.99
Pt (0.6485, 0.4389, 0.2641)  4 Hg 2.77-2.99
Pt (0.1155, 0.0800, 0.6890)  6 Hg 2.82-2.99, 2 Ac 3.14
Pt (0.8845, 0.9200, 0.3110)  6 Hg 2.82-2.99, 2 Ac 3.14
Ac (0.3011, 0.1867, 0.2110)  4 Pt 3.14-3.24, 6 Hg 3.40-3.52
Ac (0.6989, 0.8133, 0.7890)  4 Pt 3.14-3.24, 6 Hg 3.40-3.52
Ac (0.0000, 0.5000, 0.5000)  6 Pt 3.28-3.58



5.
VASP calculation (PBE-GGA) on a relaxed AcHg2Pt2 crystal.

The calculation puts the formation energy from the elements at -0.5903 eV per atom. The value obtained for the energy above the most stable polymorph in this dataset is 0 meV/atom.

Cell lengths 4.2563, 4.2563, 7.2356 Å; angles 107.10, 107.10, 90.00 degrees
With the nearest neighbours (Å) after each atom.
Element x y z (fractional)
Pt (0.6002, 0.6002, 0.2003)  1 Pt 2.64, 4 Hg 2.90
Pt (0.3998, 0.3998, 0.7997)  1 Pt 2.64, 4 Hg 2.90
Hg (0.7500, 0.2500, 0.5000)  4 Pt 2.90, 4 Hg 3.01
Hg (0.2500, 0.7500, 0.5000)  4 Pt 2.90, 4 Hg 3.01
Ac (0.0000, 0.0000, 0.0000)  8 Pt 3.29



6.
VASP calculation (PBE-GGA) on a relaxed AcHg2Pt2 crystal.

The calculation puts the formation energy from the elements at -0.5543 eV per atom. The value obtained for the energy above the most stable polymorph in this dataset is 36 meV/atom.

Cell lengths 4.7608, 4.7583, 13.3255 Å; angles 90.00, 90.00, 120.02 degrees
With the nearest neighbours (Å) after each atom.
Element x y z (fractional)
Pt (0.6671, 0.3342, 0.6429)  4 Hg 2.82-2.92, 1 Pt 2.86, 3 Ac 3.10
Pt (0.3329, 0.6658, 0.3571)  4 Hg 2.82-2.92, 1 Pt 2.86, 3 Ac 3.10
Pt (0.6671, 0.3342, 0.8571)  4 Hg 2.82-2.92, 1 Pt 2.86, 3 Ac 3.10
Pt (0.3329, 0.6658, 0.1429)  4 Hg 2.82-2.92, 1 Pt 2.86, 3 Ac 3.10
Hg (0.6664, 0.3329, 0.4315)  4 Pt 2.82-2.92
Hg (0.3336, 0.6671, 0.9315)  4 Pt 2.82-2.92
Hg (0.3336, 0.6671, 0.5685)  4 Pt 2.82-2.92
Hg (0.6664, 0.3329, 0.0685)  4 Pt 2.82-2.92
Ac (0.0005, 0.0010, 0.7500)  6 Pt 3.10
Ac (0.9995, 0.9990, 0.2500)  6 Pt 3.10



Here are the calculated ρ numbers, same order: 12496, 10153, 11109, 13737, 14186, 12939 (kg/m³).
Here are the calculated total DFT energy (no corrections) numbers, same order: -4.63, -5.19, -3.37, -3.31, -3.95, -3.91 (eV/atom).